Entry 1:
The following is a PBE calculation of an optimized crystal structure of Er8Co2Os, from the Alexandria database. Values from VASP.

The structure in Quantum ESPRESSO input format:
```
&SYSTEM
  ibrav = 0, nat = 11, ntyp = 3
/
ATOMIC_SPECIES
Er 167.26 Er.upf
Os 190.23 Os.upf
Co 58.93 Co.upf
CELL_PARAMETERS angstrom
-5.221 -2.427 -0.906
3.298 -5.409 3.735
-1.950 5.701 4.217
ATOMIC_POSITIONS crystal
Er 0.173 0.361 0.361
Er 0.575 0.341 0.080
Os 0.139 0.998 0.998
Er 0.575 0.080 0.341
Er 0.989 0.216 0.785
Co 0.487 0.317 0.695
Er 0.989 0.785 0.216
Er 0.390 0.670 0.929
Co 0.487 0.695 0.317
Er 0.805 0.641 0.641
Er 0.390 0.929 0.670
```

V	24.9	Å³/atom
SG	Cm (8)
energy above the most stable polymorph in this dataset	66	meV per atom
DFT formation energy	-0.106	eV/atom
spin magnetization	0.000	μB/cell
total energy	-5.74	eV per atom

=====

Entry 2:
The following is a PBE calculation of an optimized crystal structure of Er8Co2Os, from the Alexandria database. Values from VASP.

The structure in Quantum ESPRESSO input format:
```
&SYSTEM
  ibrav = 0, nat = 11, ntyp = 3
/
ATOMIC_SPECIES
Er 167.26 Er.upf
Os 190.23 Os.upf
Co 58.93 Co.upf
CELL_PARAMETERS angstrom
4.882 0.000 0.000
0.000 6.631 0.133
-2.441 -2.684 7.989
ATOMIC_POSITIONS crystal
Er 0.329 0.028 0.657
Er 0.595 0.450 0.190
Er 0.671 0.972 0.343
Er 0.799 0.681 0.598
Er 0.965 0.205 0.929
Os 0.500 0.000 0.000
Co 0.188 0.700 0.376
Er 0.201 0.319 0.402
Co 0.812 0.300 0.624
Er 0.035 0.795 0.071
Er 0.405 0.550 0.810
```

V	23.7	Å³/atom
SG	C2/m (12)
energy above the most stable polymorph in this dataset	0	meV per atom
DFT formation energy	-0.172	eV/atom
spin magnetization	0.000	μB/cell
total energy	-5.80	eV per atom

=====

Entry 3:
The following is a PBE calculation of an optimized crystal structure of Er5CoOs, from the Alexandria database. Values from VASP.

The structure in Quantum ESPRESSO input format:
```
&SYSTEM
  ibrav = 0, nat = 14, ntyp = 3
/
ATOMIC_SPECIES
Er 167.26 Er.upf
Co 58.93 Co.upf
Os 190.23 Os.upf
CELL_PARAMETERS angstrom
0.540 -5.118 6.558
6.862 -0.225 -4.728
8.061 0.120 4.568
ATOMIC_POSITIONS crystal
Er 0.790 0.945 0.360
Er 0.894 0.606 0.250
Er 0.106 0.394 0.750
Co 0.000 0.000 0.000
Er 0.896 0.200 0.559
Er 0.300 0.604 0.941
Er 0.210 0.055 0.640
Os 0.749 0.751 0.750
Er 0.555 0.710 0.140
Er 0.104 0.800 0.441
Os 0.251 0.249 0.250
Er 0.700 0.396 0.059
Er 0.445 0.290 0.860
Co 0.500 0.500 0.500
```

V	26.6	Å³/atom
SG	C2/c (15)
DFT formation energy	-0.130	eV/atom
spin magnetization	0.011	μB/cell
total energy	-6.01	eV per atom